BeAlCu2: optimized geometry, PBE.

The structure in POSCAR format:
```
BeAlCu2
1.0
2.608 0.000 0.000
0.000 3.905 0.000
-1.226 0.000 4.646
Be Al Cu
1 1 2
Cartesian
0.000 0.000 0.000 Be
0.048 1.953 3.522 Al
-0.041 1.953 1.055 Cu
1.292 0.000 2.175 Cu
```

Properties
**Space-group type**: No. 6
**Energy relative to the elements**: -47 meV per atom
**Calculated volume**: 47.3 Å³ per cell
**Mass density**: 5.72 g/cm3

---

BeAlCu: optimized geometry, PBE.

The structure in POSCAR format:
```
BeAlCu
1.0
3.920 0.000 0.000
-1.960 3.394 0.000
0.000 0.000 2.706
Be Al Cu
1 1 1
Cartesian
0.000 0.000 0.000 Be
0.000 2.263 1.353 Al
1.960 1.131 0.000 Cu
```

Properties
**Space-group type**: No. 187
**Energy relative to the elements**: 25 meV per atom
**Calculated volume**: 36.0 Å³ per cell
**Mass density**: 4.59 g/cm3
**Energy above the lowest structure with this stoichiometry**: 146 meV per atom

---

BeAl3Cu: optimized geometry, PBE.

The structure in POSCAR format:
```
BeAl3Cu
1.0
4.309 0.000 0.000
0.000 4.309 0.000
0.000 0.000 4.309
Be Al Cu
1 3 1
Cartesian
0.000 0.000 0.000 Be
0.000 0.000 2.154 Al
0.000 2.154 0.000 Al
2.154 0.000 0.000 Al
2.154 2.154 2.154 Cu
```

Properties
**Space-group type**: No. 221
**Energy relative to the elements**: 479 meV per atom
**Calculated volume**: 80.0 Å³ per cell
**Mass density**: 3.19 g/cm3
**Energy above the lowest structure with this stoichiometry**: 0 meV per atom

---

Be4AlCu8: optimized geometry, PBE.

The structure in POSCAR format:
```
Be4AlCu8
1.0
-3.972 3.972 2.277
3.972 -3.972 2.277
3.972 3.972 -2.277
Be Al Cu
4 1 8
Cartesian
1.986 1.986 -1.138 Be
1.986 -1.986 1.138 Be
-1.986 1.986 1.138 Be
1.986 1.986 1.138 Be
0.000 0.000 0.000 Al
2.725 0.000 0.000 Cu
5.218 0.000 0.000 Cu
3.972 2.256 0.000 Cu
0.000 2.725 0.000 Cu
2.256 3.972 0.000 Cu
1.716 0.000 2.277 Cu
0.000 5.218 0.000 Cu
0.000 1.716 2.277 Cu
```

Properties
**Space-group type**: No. 139
**Energy relative to the elements**: -65 meV per atom
**Calculated volume**: 143.6 Å³ per cell
**Mass density**: 6.61 g/cm3

---

Be3AlCu: optimized geometry, PBE.

The structure in POSCAR format:
```
Be3AlCu
1.0
4.028 0.000 0.000
0.000 4.028 0.000
0.000 0.000 4.028
Be Al Cu
3 1 1
Cartesian
0.000 0.000 2.014 Be
0.000 2.014 0.000 Be
2.014 0.000 0.000 Be
2.014 2.014 2.014 Al
0.000 0.000 0.000 Cu
```

Properties
**Space-group type**: No. 221
**Energy relative to the elements**: 598 meV per atom
**Calculated volume**: 65.4 Å³ per cell
**Mass density**: 2.99 g/cm3
**Energy above the lowest structure with this stoichiometry**: 0 meV per atom

---

BeAl2Cu8: optimized geometry, PBE.

The structure in POSCAR format:
```
BeAl2Cu8
1.0
6.564 -1.830 0.000
6.564 1.830 0.000
-1.376 0.000 5.518
Be Al Cu
1 2 8
Cartesian
0.000 0.000 0.000 Be
3.594 0.000 4.505 Al
8.158 0.000 1.013 Al
0.535 0.000 2.460 Cu
1.060 0.000 5.005 Cu
3.129 0.000 2.011 Cu
5.671 0.000 1.423 Cu
6.081 0.000 4.094 Cu
8.623 0.000 3.507 Cu
10.692 0.000 0.513 Cu
11.217 0.000 3.057 Cu
```

Properties
**Space-group type**: No. 12
**Energy relative to the elements**: -117 meV per atom
**Calculated volume**: 132.6 Å³ per cell
**Mass density**: 7.16 g/cm3

---

BeAlCu: optimized geometry, PBE.

The structure in POSCAR format:
```
BeAlCu
1.0
-2.263 2.409 3.196
2.263 -2.409 3.196
2.263 2.409 -3.196
Be Al Cu
2 2 2
Cartesian
-1.132 1.204 1.598 Be
1.132 1.204 1.598 Be
2.263 1.204 -0.772 Al
0.000 1.204 3.968 Al
0.000 0.000 0.000 Cu
0.000 2.409 0.000 Cu
```

Properties
**Space-group type**: No. 74
**Energy relative to the elements**: -121 meV per atom
**Calculated volume**: 69.7 Å³ per cell
**Mass density**: 4.74 g/cm3
**Energy above the lowest structure with this stoichiometry**: 0 meV per atom

---

BeAl3Cu4: optimized geometry, PBE.

The structure in POSCAR format:
```
BeAl3Cu4
1.0
2.762 0.000 0.000
0.000 2.762 0.000
0.000 0.000 13.121
Be Al Cu
1 3 4
Cartesian
0.000 0.000 0.000 Be
0.000 0.000 3.032 Al
0.000 0.000 6.560 Al
0.000 0.000 10.088 Al
1.381 1.381 1.309 Cu
1.381 1.381 4.786 Cu
1.381 1.381 8.335 Cu
1.381 1.381 11.812 Cu
```

Properties
**Space-group type**: No. 123
**Energy relative to the elements**: -154 meV per atom
**Calculated volume**: 100.1 Å³ per cell
**Mass density**: 5.71 g/cm3